! Rb2ScTcO6 PBE-GGA optimized geometry; values from VASP
&SYSTEM
  ibrav = 0, nat = 10, ntyp = 4
/
ATOMIC_SPECIES
O 16.00 O.upf
Tc 98.00 Tc.upf
Sc 44.96 Sc.upf
Rb 85.47 Rb.upf
CELL_PARAMETERS angstrom
5.4096 0.0000 0.0000
0.0000 6.3310 0.0000
0.0000 -3.1655 5.4828
ATOMIC_POSITIONS crystal
O 0.2192 0.8632 0.7265
Tc 0.0000 0.0000 0.0000
Sc 0.5000 0.0000 0.0000
Rb 0.8273 0.6667 0.3333
Rb 0.1727 0.3333 0.6667
O 0.2192 0.8632 0.1368
O 0.7808 0.1368 0.2735
O 0.7808 0.7265 0.8632
O 0.7808 0.1368 0.8632
O 0.2192 0.2735 0.1368
! Formation energy (no corrections)   -18.66 eV/f.u.
! Total moment   0.0 μB per formula unit
! DFT total energy   -67.0 eV/cell

=====

! Dy2TlRh PBE-GGA optimized geometry; values from VASP
&SYSTEM
  ibrav = 0, nat = 4, ntyp = 3
/
ATOMIC_SPECIES
Rh 102.91 Rh.upf
Dy 162.50 Dy.upf
Tl 204.38 Tl.upf
CELL_PARAMETERS angstrom
3.8754 0.0000 0.0000
1.9377 3.3562 0.0000
1.9377 1.1187 8.1726
ATOMIC_POSITIONS crystal
Rh 0.0000 0.0000 0.0000
Dy 0.2670 0.2670 0.1991
Tl 0.5000 0.5000 0.5000
Dy 0.7330 0.7330 0.8009
! ΔH_f (0 K)   -0.531 eV per atom
! Total moment   0.0 μB per formula unit
! Fermi-level density of states   2.42 states/eV/f.u.
! Offset from the most stable computed form   87 meV per atom
! DFT total energy   -21.0 eV/cell